# Li2CaCrO4

A relaxed Li2CaCrO4 crystal (PBE with a Hubbard U, Alexandria via LeMat-Bulk).

**ρ**: 3.10 g/cm³
**Size of the total moment**: 0.250 μB/atom
**VASP energy**: -100.39 eV for the cell shown
**V**: 91 Å³/f.u.

a b c (Å): 5.192 5.192 6.760
angles (deg): 90.00 90.00 90.00
Space group I-42m (No. 121)
Inequivalent atoms, fractional coordinates:
Li 0.000 0.500 0.250 x4
Ca 0.000 0.000 0.000 x2
Cr 0.000 0.000 0.500 x2
O 0.206 0.206 0.647 x8